Record 1
Below is crystalline TaAlSb2 at its relaxed geometry, with properties calculated at the PBE level.

Computed properties:
**Calculated density**: 9.03 g cm⁻³
**Total magnetic moment**: 0.000 μB/f.u.

Cell lengths 4.827, 4.827, 3.563 Å; angles 90.00, 90.00, 90.00 degrees
Space group P4/mmm (No. 123)
Unique sites:
Ta (0.000, 0.000, 0.000) (multiplicity 1)
Al (0.500, 0.500, 0.000) (multiplicity 1)
Sb (0.000, 0.500, 0.500) (multiplicity 2)

---

Record 2
Below is crystalline Ta2AlSb at its relaxed geometry, with properties calculated at the PBE level.

Computed properties:
**Calculated density**: 11.07 g cm⁻³
**Energy above the lowest structure with this stoichiometry**: 223.1 meV/atom
**Total magnetic moment**: 0.000 μB/f.u.

Cell lengths 3.001, 4.711, 5.619 Å; angles 90.00, 105.30, 90.00 degrees
Space group Pm (No. 6)
Unique sites:
Ta (0.000, 0.000, 0.000) (multiplicity 1)
Ta (0.125, 0.500, 0.744) (multiplicity 1)
Al (0.723, 0.500, 0.199) (multiplicity 1)
Sb (0.404, 0.000, 0.516) (multiplicity 1)

---

Record 3
Below is crystalline TaAlSb2 at its relaxed geometry, with properties calculated at the PBE level.

Computed properties:
**Calculated density**: 8.04 g cm⁻³
**Total magnetic moment**: 0.000 μB/f.u.

Cell lengths 3.742, 4.855, 10.258 Å; angles 90.00, 90.00, 90.00 degrees
Space group Cmm2 (No. 35)
Unique sites:
Ta (0.000, 0.000, 0.000) (multiplicity 2)
Al (0.000, 0.500, 0.804) (multiplicity 2)
Sb (0.000, 0.000, 0.584) (multiplicity 2)
Sb (0.000, 0.500, 0.214) (multiplicity 2)

---

Record 4
Below is crystalline TaAlSb2 at its relaxed geometry, with properties calculated at the PBE level.

Computed properties:
**Calculated density**: 8.23 g cm⁻³
**Total magnetic moment**: 0.000 μB/f.u.

Cell lengths 3.1999, 3.1999, 30.8139 Å; angles 90.00, 90.00, 120.00 degrees
Space group R-3m (No. 166, hexagonal axes)
Unique sites:
Ta (0.0000, 0.0000, 0.0000) (multiplicity 3)
Al (0.0000, 0.0000, 0.5000) (multiplicity 3)
Sb (0.0000, 0.0000, 0.2588) (multiplicity 6)

---

Record 5
Below is crystalline Ta2AlSb at its relaxed geometry, with properties calculated at the PBE level.

Computed properties:
**Calculated density**: 11.35 g cm⁻³
**Energy above the lowest structure with this stoichiometry**: 280.4 meV/atom
**Total magnetic moment**: 0.000 μB/f.u.

Cell lengths 3.061, 3.907, 6.245 Å; angles 90.00, 90.00, 90.00 degrees
Space group Pmmm (No. 47)
Unique sites:
Ta (0.000, 0.000, 0.225) (multiplicity 2)
Al (0.500, 0.500, 0.000) (multiplicity 1)
Sb (0.500, 0.500, 0.500) (multiplicity 1)

---

Record 6
Below is crystalline Ta2AlSb at its relaxed geometry, with properties calculated at the PBE level.

Computed properties:
**Calculated density**: 10.42 g cm⁻³
**Energy above the lowest structure with this stoichiometry**: 289.5 meV/atom
**Total magnetic moment**: 0.000 μB/f.u.

Cell lengths 2.940, 2.940, 9.421 Å; angles 90.00, 90.00, 90.00 degrees
Space group P4mm (No. 99)
Unique sites:
Ta (0.000, 0.000, 0.000) (multiplicity 1)
Ta (0.500, 0.500, 0.244) (multiplicity 1)
Al (0.000, 0.000, 0.445) (multiplicity 1)
Sb (0.500, 0.500, 0.759) (multiplicity 1)

---

Record 7
Below is crystalline Ta2AlSb at its relaxed geometry, with properties calculated at the PBE level.

Computed properties:
**Calculated density**: 10.50 g cm⁻³
**Energy above the lowest structure with this stoichiometry**: 443.6 meV/atom
**Total magnetic moment**: 0.000 μB/f.u.

Cell lengths 4.018, 4.018, 20.019 Å; angles 90.00, 90.00, 90.00 degrees
Space group I-42d (No. 122)
Unique sites:
Ta (0.237, 0.250, 0.125) (multiplicity 8)
Al (0.000, 0.000, 0.000) (multiplicity 4)
Sb (0.000, 0.000, 0.500) (multiplicity 4)

---

Record 8
Below is crystalline Ta2AlSb2 at its relaxed geometry, with properties calculated at the PBE level.

Computed properties:
**Calculated density**: 10.10 g cm⁻³
**Energy above the lowest structure with this stoichiometry**: 0.0 meV/atom
**Total magnetic moment**: 0.000 μB/f.u.

Cell lengths 7.432, 7.432, 3.766 Å; angles 90.00, 90.00, 90.00 degrees
Space group P4/mbm (No. 127)
Unique sites:
Ta (0.141, 0.359, 0.000) (multiplicity 4)
Al (0.000, 0.000, 0.000) (multiplicity 2)
Sb (0.155, 0.655, 0.500) (multiplicity 4)

---

Record 9
Below is crystalline Ta2AlSb at its relaxed geometry, with properties calculated at the PBE level.

Computed properties:
**Calculated density**: 11.34 g cm⁻³
**Energy above the lowest structure with this stoichiometry**: 260.9 meV/atom
**Total magnetic moment**: 0.000 μB/f.u.

Cell lengths 3.799, 4.838, 8.140 Å; angles 90.00, 90.00, 90.00 degrees
Space group Cmmm (No. 65)
Unique sites:
Ta (0.000, 0.000, 0.237) (multiplicity 4)
Al (0.000, 0.500, 0.000) (multiplicity 2)
Sb (0.000, 0.500, 0.500) (multiplicity 2)

---

Record 10
Below is crystalline TaAlSb at its relaxed geometry, with properties calculated at the PBE level.

Computed properties:
**Calculated density**: 9.81 g cm⁻³
**Energy above the lowest structure with this stoichiometry**: 0.0 meV/atom
**Total magnetic moment**: 0.000 μB/f.u.

Cell lengths 3.531, 3.531, 8.952 Å; angles 90.00, 90.00, 90.00 degrees
Space group I4mm (No. 107)
Unique sites:
Ta (0.000, 0.000, 0.000) (multiplicity 2)
Al (0.000, 0.000, 0.339) (multiplicity 2)
Sb (0.000, 0.000, 0.665) (multiplicity 2)

---

Record 11
Below is crystalline TaAlSb2 at its relaxed geometry, with properties calculated at the PBE level.

Computed properties:
**Calculated density**: 8.85 g cm⁻³
**Total magnetic moment**: 0.000 μB/f.u.

Cell lengths 9.979, 3.188, 5.355 Å; angles 90.00, 95.84, 90.00 degrees
Space group C2/m (No. 12)
Unique sites:
Ta (0.000, 0.000, 0.000) (multiplicity 2)
Al (0.000, 0.500, 0.500) (multiplicity 2)
Sb (0.229, 0.500, 0.238) (multiplicity 4)

---

Record 12
Below is crystalline Ta2AlSb at its relaxed geometry, with properties calculated at the PBE level.

Computed properties:
**Calculated density**: 11.24 g cm⁻³
**Energy above the lowest structure with this stoichiometry**: 187.8 meV/atom
**Total magnetic moment**: 0.000 μB/f.u.

Cell lengths 9.523, 3.267, 4.905 Å; angles 90.00, 98.48, 90.00 degrees
Space group C2/m (No. 12)
Unique sites:
Ta (0.250, 0.000, 0.237) (multiplicity 4)
Al (0.000, 0.500, 0.000) (multiplicity 2)
Sb (0.000, 0.000, 0.500) (multiplicity 2)

---

Record 13
Below is crystalline TaAlSb2 at its relaxed geometry, with properties calculated at the PBE level.

Computed properties:
**Calculated density**: 8.45 g cm⁻³
**Total magnetic moment**: 0.000 μB/f.u.

Cell lengths 3.963, 5.180, 8.644 Å; angles 90.00, 90.00, 90.00 degrees
Space group Cmmm (No. 65)
Unique sites:
Ta (0.000, 0.000, 0.000) (multiplicity 2)
Al (0.000, 0.000, 0.500) (multiplicity 2)
Sb (0.000, 0.500, 0.236) (multiplicity 4)

---

Record 14
Below is crystalline TaAlSb4 at its relaxed geometry, with properties calculated at the PBE level.

Computed properties:
**Calculated density**: 7.38 g cm⁻³
**Total magnetic moment**: 0.000 μB/f.u.

Cell lengths 8.552, 8.552, 8.552 Å; angles 90.00, 90.00, 90.00 degrees
Space group F-43m (No. 216)
Unique sites:
Ta (0.000, 0.000, 0.000) (multiplicity 4)
Al (0.250, 0.250, 0.750) (multiplicity 4)
Sb (0.125, 0.125, 0.375) (multiplicity 16)

---

Record 15
Below is crystalline TaAlSb2 at its relaxed geometry, with properties calculated at the PBE level.

Computed properties:
**Calculated density**: 8.70 g cm⁻³
**Total magnetic moment**: 0.000 μB/f.u.

Cell lengths 4.098, 3.922, 10.719 Å; angles 90.00, 90.00, 90.00 degrees
Space group Amm2 (No. 38)
Unique sites:
Ta (0.000, 0.000, 0.000) (multiplicity 2)
Al (0.500, 0.000, 0.170) (multiplicity 2)
Sb (0.000, 0.000, 0.710) (multiplicity 2)
Sb (0.500, 0.000, 0.420) (multiplicity 2)

---

Record 16
Below is crystalline Ta2AlSb at its relaxed geometry, with properties calculated at the PBE level.

Computed properties:
**Calculated density**: 11.49 g cm⁻³
**Energy above the lowest structure with this stoichiometry**: 164.7 meV/atom
**Total magnetic moment**: 0.000 μB/f.u.

Cell lengths 3.689, 4.497, 8.895 Å; angles 90.00, 90.00, 90.00 degrees
Space group Imm2 (No. 44)
Unique sites:
Ta (0.000, 0.000, 0.000) (multiplicity 2)
Ta (0.000, 0.500, 0.255) (multiplicity 2)
Al (0.000, 0.000, 0.512) (multiplicity 2)
Sb (0.000, 0.500, 0.753) (multiplicity 2)

---

Record 17
Below is crystalline TaAlSb at its relaxed geometry, with properties calculated at the PBE level.

Computed properties:
**Calculated density**: 8.88 g cm⁻³
**Energy above the lowest structure with this stoichiometry**: 329.0 meV/atom
**Total magnetic moment**: 0.000 μB/f.u.

Cell lengths 2.987, 2.987, 13.829 Å; angles 90.00, 90.00, 90.00 degrees
Space group I4mm (No. 107)
Unique sites:
Ta (0.000, 0.000, 0.000) (multiplicity 2)
Al (0.000, 0.000, 0.638) (multiplicity 2)
Sb (0.000, 0.000, 0.335) (multiplicity 2)

---

Record 18
Below is crystalline TaAlSb2 at its relaxed geometry, with properties calculated at the PBE level.

Computed properties:
**Calculated density**: 8.09 g cm⁻³
**Total magnetic moment**: 0.000 μB/f.u.

Cell lengths 3.1756, 3.1756, 31.8389 Å; angles 90.00, 90.00, 120.00 degrees
Space group R3m (No. 160, hexagonal axes)
Unique sites:
Ta (0.0000, 0.0000, 0.0000) (multiplicity 3)
Al (0.0000, 0.0000, 0.7342) (multiplicity 3)
Sb (0.0000, 0.0000, 0.2593) (multiplicity 3)
Sb (0.0000, 0.0000, 0.4746) (multiplicity 3)

---

Record 19
Below is crystalline TaAlSb2 at its relaxed geometry, with properties calculated at the PBE level.

Computed properties:
**Calculated density**: 8.55 g cm⁻³
**Total magnetic moment**: 0.000 μB/f.u.

Cell lengths 3.453, 3.453, 7.352 Å; angles 90.00, 90.00, 90.00 degrees
Space group P4/mmm (No. 123)
Unique sites:
Ta (0.000, 0.000, 0.000) (multiplicity 1)
Al (0.000, 0.000, 0.500) (multiplicity 1)
Sb (0.500, 0.500, 0.223) (multiplicity 2)

---

Record 20
Below is crystalline TaAlSb3 at its relaxed geometry, with properties calculated at the PBE level.

Computed properties:
**Calculated density**: 6.96 g cm⁻³
**Energy above the lowest structure with this stoichiometry**: 658.6 meV/atom
**Total magnetic moment**: 2.101 μB/f.u.

Cell lengths 5.151, 5.151, 5.151 Å; angles 90.00, 90.00, 90.00 degrees
Space group Pm-3m (No. 221)
Unique sites:
Ta (0.000, 0.000, 0.000) (multiplicity 1)
Al (0.500, 0.500, 0.500) (multiplicity 1)
Sb (0.000, 0.500, 0.500) (multiplicity 3)

---

| no. | raw total energy (eV per atom) |
| --- | --- |
| 1 | -5.6079 |
| 2 | -7.7740 |
| 3 | -5.8445 |
| 4 | -5.7134 |
| 5 | -7.7168 |
| 6 | -7.7076 |
| 7 | -7.5535 |
| 8 | -6.9992 |
| 9 | -7.7362 |
| 10 | -6.6991 |
| 11 | -5.6926 |
| 12 | -7.8094 |
| 13 | -5.6803 |
| 14 | -4.4266 |
| 15 | -5.9588 |
| 16 | -7.8324 |
| 17 | -6.3700 |
| 18 | -5.8120 |
| 19 | -5.7532 |
| 20 | -4.3827 |